Record 1
# PBE Pm2PF, relaxed
data_Pm2PF
_chemical_formula_sum 'Pm6 P3 F3'
_cell_length_a 3.9788
_cell_length_b 3.9788
_cell_length_c 18.6294
_cell_angle_alpha 90.00
_cell_angle_beta 90.00
_cell_angle_gamma 120.00
_space_group_name_H-M_alt 'R -3 m'
_space_group_IT_number 166
_space_group_name_Hall '-R 3 2"'
loop_
_atom_site_label
_atom_site_type_symbol
_atom_site_fract_x
_atom_site_fract_y
_atom_site_fract_z
Pm1 Pm 0.0000 0.0000 0.2489
P1 P 0.0000 0.0000 0.0000
F1 F 0.0000 0.0000 0.5000
# - ΔE to the lowest computed polymorph: 0.0000 eV/atom
# - D(E_F): 0.475 states/eV/atom
# - Uncorrected formation energy: -1.9833 eV/atom
# - Theoretical density: 6631 kg/m3

Record 2
# PBE Pm2PF, relaxed
data_Pm2PF
_chemical_formula_sum 'Pm6 P3 F3'
_cell_length_a 3.8783
_cell_length_b 3.8783
_cell_length_c 20.5505
_cell_angle_alpha 90.00
_cell_angle_beta 90.00
_cell_angle_gamma 120.00
_space_group_name_H-M_alt 'R 3 m'
_space_group_IT_number 160
_space_group_name_Hall 'R 3 -2"'
loop_
_atom_site_label
_atom_site_type_symbol
_atom_site_fract_x
_atom_site_fract_y
_atom_site_fract_z
Pm1 Pm 0.0000 0.0000 0.0000
Pm2 Pm 0.0000 0.0000 0.1763
P1 P 0.0000 0.0000 0.5875
F1 F 0.0000 0.0000 0.7626
# - ΔE to the lowest computed polymorph: 0.0956 eV/atom
# - D(E_F): 0.510 states/eV/atom
# - Uncorrected formation energy: -1.8876 eV/atom
# - Theoretical density: 6327 kg/m3

Record 3
# PBE Pm2PF, relaxed
data_Pm2PF
_chemical_formula_sum 'Pm8 P4 F4'
_cell_length_a 6.849
_cell_length_b 6.849
_cell_length_c 6.849
_cell_angle_alpha 90.00
_cell_angle_beta 90.00
_cell_angle_gamma 90.00
_space_group_name_H-M_alt 'F m -3 m'
_space_group_IT_number 225
_space_group_name_Hall '-F 4 2 3'
loop_
_atom_site_label
_atom_site_type_symbol
_atom_site_fract_x
_atom_site_fract_y
_atom_site_fract_z
Pm1 Pm 0.250 0.250 0.250
P1 P 0.000 0.000 0.000
F1 F 0.000 0.000 0.500
# - ΔE to the lowest computed polymorph: 0.2613 eV/atom
# - D(E_F): 0.646 states/eV/atom
# - Uncorrected formation energy: -1.7219 eV/atom
# - Theoretical density: 7028 kg/m3

Record 4
# PBE Pm4P3F, relaxed
data_Pm4P3F
_chemical_formula_sum 'Pm8 P6 F2'
_cell_length_a 4.069
_cell_length_b 11.403
_cell_length_c 8.109
_cell_angle_alpha 90.00
_cell_angle_beta 90.00
_cell_angle_gamma 90.00
_space_group_name_H-M_alt 'A m m 2'
_space_group_IT_number 38
loop_
_space_group_symop_operation_xyz
'x,y,z'
'-x,-y,z'
'-x,y,z'
'x,-y,z'
'x,y+1/2,z+1/2'
'-x,-y+1/2,z+1/2'
'-x,y+1/2,z+1/2'
'x,-y+1/2,z+1/2'
loop_
_atom_site_label
_atom_site_type_symbol
_atom_site_fract_x
_atom_site_fract_y
_atom_site_fract_z
Pm1 Pm 0.000 0.000 0.000
Pm2 Pm 0.000 0.000 0.481
Pm3 Pm 0.500 0.249 0.241
P1 P 0.000 0.250 0.491
P2 P 0.500 0.000 0.240
F1 F 0.500 0.000 0.741
# - D(E_F): 0.389 states/eV/atom
# - Uncorrected formation energy: -1.8046 eV/atom
# - Theoretical density: 6107 kg/m3